A geometry-optimized Ba3TlRe structure. Source: the Alexandria database, functional PBE.

**E_form**: 2.881 eV/f.u.
**E above lowest polymorph**: 0.000 eV/atom

The structure in POSCAR format:
```
Ba3TlRe
1.0
5.9901 0.0000 0.0000
0.0000 5.9901 0.0000
0.0000 0.0000 5.9901
Ba Tl Re
3 1 1
Direct
0.0000 0.0000 0.5000
0.0000 0.5000 0.0000
0.5000 0.0000 0.0000
0.5000 0.5000 0.5000
0.0000 0.0000 0.0000
```

---

A geometry-optimized BeHgAs4 structure. Source: the Alexandria database, functional PBE.

**E_form**: 4.049 eV/f.u.

The structure in POSCAR format:
```
BeHgAs4
1.0
0.0000 3.9519 3.9519
3.9519 0.0000 3.9519
3.9519 3.9519 0.0000
Be Hg As
1 1 4
Direct
0.0000 0.0000 0.0000
0.7500 0.7500 0.7500
0.3742 0.3742 0.3742
0.3742 0.3742 0.8775
0.3742 0.8775 0.3742
0.8775 0.3742 0.3742
```